# 1
LiSi3S | PBE | relaxed

Electronic total energy (eV per cell): -18.75
Polymorph energy (0 for the lowest one) (eV per formula unit): 0.00
Density (g/cm³): 2.1
Symmetry: Pm-3m (221)
Uncorrected formation energy (eV/atom): 0.71

Cell lengths 4.6385, 4.6385, 4.6385 Å; angles 90.00, 90.00, 90.00 degrees
Closest atoms and distances in Å follow each position.
Positions (direct):
S 0.0000 0.0000 0.0000  6 Si 2.32
Si 0.0000 0.5000 0.0000  2 S 2.32
Si 0.0000 0.0000 0.5000  2 S 2.32
Si 0.5000 0.0000 0.0000  2 S 2.32
Li 0.5000 0.5000 0.5000  12 Si 3.28

---

# 2
ScCo6Ge4 | PBE | relaxed

Electronic total energy (eV per cell): -71.23
DFT formation energy (eV/atom): -0.345
Polymorph energy (0 for the lowest one) (eV per formula unit): 0.00
Density (g/cm³): 8.0
Symmetry: P-6m2 (187)

Cell lengths 3.6198, 6.7682, 6.7682 Å; angles 120.00, 90.00, 90.00 degrees
Closest atoms and distances in Å follow each position.
Positions (direct):
Sc 0.0000 0.0000 0.0000  6 Ge 2.89, 6 Co 3.00
Co 0.0000 0.5351 0.0702  5 Ge 2.37-2.42
Co 0.5000 0.5927 0.7963  4 Ge 2.32-2.36
Co 0.0000 0.5351 0.4649  5 Ge 2.37-2.42
Co 0.0000 0.9298 0.4649  5 Ge 2.37-2.42
Co 0.5000 0.2037 0.7963  4 Ge 2.32-2.36
Co 0.5000 0.2037 0.4073  4 Ge 2.32-2.36
Ge 0.5000 0.8083 0.6166  6 Co 2.32-2.42
Ge 0.5000 0.3834 0.1917  6 Co 2.32-2.42
Ge 0.5000 0.8083 0.1917  6 Co 2.32-2.42
Ge 0.0000 0.3333 0.6667  9 Co 2.36-2.37

---

# 3
Sm2Y3Ru2 | PBE | relaxed

Electronic total energy (eV per cell): -49.38
DFT formation energy (eV/atom): -0.285
Density (g/cm³): 6.8
Symmetry: C2/m (12)

Cell lengths 3.8697, 6.3629, 8.7753 Å; angles 113.44, 90.00, 107.70 degrees
Closest atoms and distances in Å follow each position.
Positions (direct):
Sm 0.8344 0.6688 0.1946  2 Ru 2.80
Sm 0.1656 0.3312 0.8054  2 Ru 2.80
Y 0.5000 0.0000 0.0000  4 Ru 2.97
Y 0.6215 0.2429 0.4257  3 Ru 2.88-2.99
Y 0.3785 0.7571 0.5743  3 Ru 2.88-2.99
Ru 0.8206 0.6411 0.7722  2 Sm 2.80, 5 Y 2.88-2.99
Ru 0.1794 0.3589 0.2278  2 Sm 2.80, 5 Y 2.88-2.99

---

# 4
EuInAg | PBE | relaxed

Electronic total energy (eV per cell): -16.69
DFT formation energy (eV/atom): -0.274
Density (g/cm³): 7.9
Symmetry: I4mm (107)

Cell lengths 3.7758, 3.7758, 6.1431 Å; angles 107.90, 107.90, 90.00 degrees
Closest atoms and distances in Å follow each position.
Positions (direct):
Eu 0.6140 0.6140 0.2280  5 Ag 3.36-3.49, 5 In 3.40-3.42
Ag 0.9291 0.9291 0.8583  4 In 2.99
In 0.3069 0.3069 0.6138  4 Ag 2.99

---

# 5
LaHo3Ni2 | PBE | relaxed

Electronic total energy (eV per cell): -63.68
DFT formation energy (eV/atom): -0.269
Density (g/cm³): 8.2
Symmetry: C2/m (12)

Cell lengths 3.9188, 8.3639, 9.8880 Å; angles 78.44, 78.57, 76.45 degrees
Closest atoms and distances in Å follow each position.
Positions (direct):
La 0.8481 0.5557 0.7481  3 Ni 2.79-3.02
La 0.1519 0.4443 0.2519  3 Ni 2.79-3.02
Ho 0.1532 0.9422 0.7514  4 Ni 2.81-3.15
Ho 0.8468 0.0578 0.2486  4 Ni 2.81-3.15
Ho 0.4184 0.2158 0.9475  3 Ni 2.81-3.06
Ho 0.5816 0.7842 0.0525  3 Ni 2.81-3.06
Ho 0.5859 0.2656 0.5626  3 Ni 2.77-2.87
Ho 0.4141 0.7344 0.4374  3 Ni 2.77-2.87
Ni 0.2310 0.5923 0.9457  2 Ni 2.59, 2 La 2.79, 2 Ho 2.81
Ni 0.7690 0.4077 0.0543  2 Ni 2.59, 2 La 2.79, 2 Ho 2.81
Ni 0.7681 0.9157 0.5480  2 Ni 2.48, 2 Ho 2.77
Ni 0.2319 0.0843 0.4520  2 Ni 2.48, 2 Ho 2.77

---

# 6
Al2Ga2Au | PBE | relaxed

Electronic total energy (eV per cell): -16.21
DFT formation energy (eV/atom): 0.120
Polymorph energy (0 for the lowest one) (eV per formula unit): 0.84
Density (g/cm³): 6.9
Symmetry: I4/mmm (139)

Cell lengths 4.0082, 4.0082, 6.4681 Å; angles 71.95, 71.95, 90.00 degrees
Closest atoms and distances in Å follow each position.
Positions (direct):
Au 0.0000 0.0000 0.0000  8 Ga 3.08
Al 0.7500 0.2500 0.5000  4 Ga 2.63, 4 Al 2.83
Al 0.2500 0.7500 0.5000  4 Ga 2.63, 4 Al 2.83
Ga 0.3970 0.3970 0.2061  1 Ga 2.40, 4 Al 2.63
Ga 0.6030 0.6030 0.7939  1 Ga 2.40, 4 Al 2.63

---

Repeat the second record exactly.
ScCo6Ge4 | PBE | relaxed

Electronic total energy (eV per cell): -71.23
DFT formation energy (eV/atom): -0.345
Polymorph energy (0 for the lowest one) (eV per formula unit): 0.00
Density (g/cm³): 8.0
Symmetry: P-6m2 (187)

Cell lengths 3.6198, 6.7682, 6.7682 Å; angles 120.00, 90.00, 90.00 degrees
Closest atoms and distances in Å follow each position.
Positions (direct):
Sc 0.0000 0.0000 0.0000  6 Ge 2.89, 6 Co 3.00
Co 0.0000 0.5351 0.0702  5 Ge 2.37-2.42
Co 0.5000 0.5927 0.7963  4 Ge 2.32-2.36
Co 0.0000 0.5351 0.4649  5 Ge 2.37-2.42
Co 0.0000 0.9298 0.4649  5 Ge 2.37-2.42
Co 0.5000 0.2037 0.7963  4 Ge 2.32-2.36
Co 0.5000 0.2037 0.4073  4 Ge 2.32-2.36
Ge 0.5000 0.8083 0.6166  6 Co 2.32-2.42
Ge 0.5000 0.3834 0.1917  6 Co 2.32-2.42
Ge 0.5000 0.8083 0.1917  6 Co 2.32-2.42
Ge 0.0000 0.3333 0.6667  9 Co 2.36-2.37